VASP calculation (PBE) on LaBeRh2 after structural relaxation.

Lattice parameters (Å, degrees): 4.2877 4.2857 3.6820 90.00 90.00 90.00
Fractional coordinates of all 4 atoms:
Rh 0.5000 0.5000 0.0000
Rh 0.0000 0.0000 0.0000
La 0.0000 0.5000 0.5000
Be 0.5000 0.0000 0.5000

Properties
- symmetry = P4/mmm (123)
- magnetic moment (Bohr magnetons per cell) = 0.0
- VASP energy (eV per atom) = -6.178
- E_form (kcal/mol of atoms) = -7.81